(1)
This record from the Alexandria database describes a relaxed Y3P6Pd20 crystal. The functional is PBE-GGA.

Properties
energy relative to the elements: -0.719 eV per atom
mass density: 9.27 g/cm³
space-group type: Fm-3m
raw total energy: -176.56 eV/cell

```
Y3P6Pd20
1.0
-2.228 7.806 3.068
-0.776 1.240 8.554
5.840 4.827 4.232
Pd Y P
20 3 6
direct
0.654 0.000 0.000 Pd
0.346 0.000 0.654 Pd
0.385 0.846 0.385 Pd
0.000 0.654 0.346 Pd
0.000 0.000 0.654 Pd
0.615 0.615 0.154 Pd
0.346 0.654 0.000 Pd
0.385 0.385 0.846 Pd
0.000 0.000 0.346 Pd
0.346 0.000 0.000 Pd
0.000 0.346 0.654 Pd
0.000 0.346 0.000 Pd
0.846 0.385 0.385 Pd
0.385 0.385 0.385 Pd
0.615 0.615 0.615 Pd
0.615 0.154 0.615 Pd
0.654 0.346 0.000 Pd
0.654 0.000 0.346 Pd
0.154 0.615 0.615 Pd
0.000 0.654 0.000 Pd
0.750 0.750 0.750 Y
0.250 0.250 0.250 Y
0.000 0.000 0.000 Y
0.737 0.263 0.263 P
0.263 0.737 0.737 P
0.737 0.263 0.737 P
0.263 0.263 0.737 P
0.263 0.737 0.263 P
0.737 0.737 0.263 P
```


(2)
This record from the Alexandria database describes a relaxed PrAs2Rh3 crystal. The functional is PBE-GGA.

Properties
energy relative to the elements: -0.858 eV per atom
mass density: 9.39 g/cm³
space-group type: C2/m
raw total energy: -123.84 eV/cell

```
PrAs2Rh3
1.0
4.042 0.000 0.000
-2.021 7.854 -2.534
0.000 0.054 9.999
Rh Pr As
9 3 6
direct
0.043 0.087 0.330 Rh
0.220 0.439 0.393 Rh
0.321 0.643 0.041 Rh
0.679 0.357 0.959 Rh
0.375 0.749 0.793 Rh
0.500 0.000 0.500 Rh
0.625 0.251 0.207 Rh
0.957 0.913 0.670 Rh
0.780 0.561 0.607 Rh
0.156 0.312 0.697 Pr
0.000 0.000 0.000 Pr
0.844 0.688 0.303 Pr
0.462 0.924 0.221 As
0.196 0.393 0.129 As
0.638 0.276 0.454 As
0.804 0.607 0.871 As
0.362 0.724 0.546 As
0.538 0.076 0.779 As
```


(3)
This record from the Alexandria database describes a relaxed BeCd2As crystal. The functional is PBE-GGA.

Properties
energy relative to the elements: 0.433 eV per atom
mass density: 6.84 g/cm³
space-group type: Cmmm
raw total energy: -8.47 eV/cell

```
BeCd2As
1.0
5.106 0.065 0.000
-1.899 4.740 0.000
0.000 0.000 3.081
Cd Be As
2 1 1
direct
0.000 0.000 0.000 Cd
0.500 0.500 0.000 Cd
0.000 0.500 0.500 Be
0.500 0.000 0.500 As
```


(4)
This record from the Alexandria database describes a relaxed Rb3SeI6 crystal. The functional is PBE-GGA.

Properties
mass density: 3.51 g/cm³
space-group type: I4/mmm
raw total energy: -22.87 eV/cell

```
Rb3SeI6
1.0
9.127 0.000 0.000
0.000 9.127 0.000
4.563 4.563 6.237
I Rb Se
6 3 1
direct
0.733 0.733 0.000 I
0.733 0.267 0.000 I
0.267 0.267 0.000 I
0.277 0.277 0.446 I
0.723 0.723 0.554 I
0.267 0.733 0.000 I
0.250 0.750 0.500 Rb
0.750 0.250 0.500 Rb
0.000 0.000 0.000 Rb
0.500 0.500 0.000 Se
```


(5)
This record from the Alexandria database describes a relaxed Ge2PbAu crystal. The functional is PBE-GGA.

Properties
energy relative to the elements: 0.169 eV per atom
mass density: 9.65 g/cm³
space-group type: I-42d
raw total energy: -31.09 eV/cell

```
Ge2PbAu
1.0
4.379 0.000 0.000
0.000 4.379 0.000
2.190 2.190 9.865
Ge Au Pb
4 2 2
direct
0.875 0.794 0.750 Ge
0.206 0.625 0.250 Ge
0.544 0.125 0.250 Ge
0.375 0.456 0.750 Ge
0.250 0.750 0.500 Au
0.500 0.500 0.000 Au
0.750 0.250 0.500 Pb
0.000 0.000 0.000 Pb
```


(6)
This record from the Alexandria database describes a relaxed ZrTiAs crystal. The functional is PBE-GGA.

Properties
energy relative to the elements: -0.650 eV per atom
mass density: 6.39 g/cm³
space-group type: Cm
raw total energy: -92.18 eV/cell

```
ZrTiAs
1.0
7.710 0.000 0.000
0.000 3.461 0.000
-5.694 0.000 8.340
As Zr Ti
4 4 4
direct
0.529 0.000 0.642 As
0.932 0.000 0.623 As
0.529 0.500 0.142 As
0.932 0.500 0.123 As
0.880 0.000 0.318 Zr
0.240 0.500 0.665 Zr
0.880 0.500 0.818 Zr
0.240 0.000 0.165 Zr
0.642 0.000 0.941 Ti
0.283 0.500 0.421 Ti
0.283 0.000 0.921 Ti
0.642 0.500 0.441 Ti
```


(7)
This record from the Alexandria database describes a relaxed NaBe2SeBr crystal. The functional is PBE-GGA.

Properties
mass density: 2.35 g/cm³
space-group type: P4/mmm
raw total energy: -7.42 eV/cell

```
NaBe2SeBr
1.0
5.378 0.000 0.000
0.000 4.888 0.000
0.000 0.000 5.378
Se Br Na Be
1 1 1 2
direct
0.500 0.500 0.500 Se
0.000 0.500 0.000 Br
0.000 0.000 0.000 Na
0.000 0.000 0.500 Be
0.500 0.000 0.000 Be
```


(8)
This record from the Alexandria database describes a relaxed RbAlSn3 crystal. The functional is PBE-GGA.

Properties
energy relative to the elements: -0.102 eV per atom
mass density: 5.05 g/cm³
space-group type: I4mm
raw total energy: -17.23 eV/cell

```
RbAlSn3
1.0
4.967 0.000 1.715
-0.593 4.937 1.722
0.480 0.540 6.656
Sn Rb Al
3 1 1
direct
0.785 0.588 0.135 Sn
0.145 0.448 0.416 Sn
0.645 0.949 0.415 Sn
0.397 0.201 0.911 Rb
0.036 0.839 0.634 Al
```


(9)
This record from the Alexandria database describes a relaxed FeSiRu2 crystal. The functional is PBE-GGA.

Properties
mass density: 8.92 g/cm³
space-group type: Cmm2
raw total energy: -31.86 eV/cell

```
FeSiRu2
1.0
2.687 -0.006 0.000
-1.190 2.410 0.000
0.000 0.000 8.228
Ru Fe Si
2 1 1
direct
0.000 0.000 0.989 Ru
0.500 0.500 0.273 Ru
0.500 0.500 0.733 Fe
0.000 0.000 0.505 Si
```


(10)
This record from the Alexandria database describes a relaxed Pr6Sb2Te3Br crystal. The functional is PBE-GGA.

Properties
mass density: 6.52 g/cm³
space-group type: C2/m
raw total energy: -63.95 eV/cell

```
Pr6Sb2Te3Br
1.0
-1.674 4.216 -0.026
-2.100 -0.780 8.762
10.022 1.540 0.235
Pr Br Te Sb
6 1 3 2
direct
0.324 0.905 0.649 Pr
0.004 0.268 0.008 Pr
0.669 0.580 0.338 Pr
0.676 0.095 0.351 Pr
0.331 0.420 0.662 Pr
0.996 0.732 0.992 Pr
0.500 0.000 0.000 Br
0.161 0.835 0.323 Te
0.839 0.165 0.677 Te
0.500 0.500 0.000 Te
0.834 0.668 0.668 Sb
0.166 0.332 0.332 Sb
```


(11)
This record from the Alexandria database describes a relaxed Nb2ZnCu crystal. The functional is PBE-GGA.

Properties
energy relative to the elements: 0.113 eV per atom
mass density: 8.19 g/cm³
space-group type: Imm2
raw total energy: -25.06 eV/cell

```
Nb2ZnCu
1.0
-0.695 3.747 0.679
-3.773 -0.752 0.292
2.693 -2.172 3.707
Zn Cu Nb
1 1 2
direct
0.500 0.500 0.999 Zn
0.250 0.750 0.501 Cu
0.750 0.250 0.500 Nb
0.000 0.000 0.000 Nb
```


(12)
This record from the Alexandria database describes a relaxed Cd2SiHg crystal. The functional is PBE-GGA.

Properties
mass density: 8.76 g/cm³
space-group type: I-4m2
raw total energy: -6.33 eV/cell

```
Cd2SiHg
1.0
-5.191 -1.466 0.360
-0.886 -2.331 4.797
2.337 4.683 -1.355
Cd Si Hg
2 1 1
direct
0.250 0.750 0.500 Cd
0.000 0.000 0.000 Cd
0.750 0.250 0.500 Si
0.500 0.500 0.000 Hg
```